Entry 1:
The following is a DFT calculation (PBE) of a relaxed TcMoRu2 crystal.

abc: 3.860 3.860 7.827
angles: 90.00 90.00 90.00
Element x y z (fractional)
Tc1 0.000 0.000 0.000
Tc2 0.500 0.500 0.500
Mo1 0.000 0.500 0.750
Mo2 0.500 0.000 0.250
Ru1 0.000 0.000 0.500
Ru2 0.000 0.500 0.250
Ru3 0.500 0.000 0.750
Ru4 0.500 0.500 0.000

Properties
Total magnetization, μB per formula unit: 0.0
Final energy, Ry/atom: -0.7264
E_form, meV per atom: 54
V, Å³/atom: 14.58
DOS at the Fermi energy, states/eV per atom: 1.1134
Polymorph energy (0 for the lowest one), meV/atom: 29


Entry 2:
The following is a DFT calculation (PBE) of a relaxed TcMoRu2 crystal.

abc: 3.800 3.800 17.593
angles: 90.00 90.00 90.00
Element x y z (fractional)
Tc1 0.000 0.000 0.000
Tc2 0.000 0.500 0.250
Tc3 0.500 0.000 0.750
Tc4 0.500 0.500 0.500
Mo1 0.000 0.000 0.500
Mo2 0.000 0.500 0.750
Mo3 0.500 0.000 0.250
Mo4 0.500 0.500 0.000
Ru1 0.244 0.250 0.125
Ru2 0.250 0.744 0.375
Ru3 0.250 0.756 0.875
Ru4 0.256 0.250 0.625
Ru5 0.744 0.750 0.625
Ru6 0.750 0.244 0.875
Ru7 0.750 0.256 0.375
Ru8 0.756 0.750 0.125

Properties
Total magnetization, μB per formula unit: 0.0
Final energy, Ry/atom: -0.6812
E_form, meV per atom: 669
V, Å³/atom: 15.88
DOS at the Fermi energy, states/eV per atom: 1.1603
Polymorph energy (0 for the lowest one), meV/atom: 644


Entry 3:
The following is a DFT calculation (PBE) of a relaxed Tc2Mo4Ru crystal.

abc: 4.585 4.585 12.730
angles: 90.00 90.00 90.00
Element x y z (fractional)
Tc1 0.000 0.000 0.123
Tc2 0.000 0.000 0.877
Tc3 0.500 0.500 0.377
Tc4 0.500 0.500 0.623
Mo1 0.000 0.000 0.303
Mo2 0.000 0.000 0.697
Mo3 0.000 0.500 0.000
Mo4 0.000 0.500 0.500
Mo5 0.500 0.000 0.000
Mo6 0.500 0.000 0.500
Mo7 0.500 0.500 0.197
Mo8 0.500 0.500 0.803
Ru1 0.000 0.000 0.500
Ru2 0.500 0.500 0.000

Properties
Total magnetization, μB per formula unit: 0.0
Final energy, Ry/atom: -0.6627
E_form, meV per atom: 1459
V, Å³/atom: 19.11
DOS at the Fermi energy, states/eV per atom: 1.3204


Entry 4:
The following is a DFT calculation (PBE) of a relaxed TcMoRu2 crystal.

abc: 9.104 2.744 4.745
angles: 90.00 100.11 90.00
Element x y z (fractional)
Tc1 0.000 0.000 0.000
Tc2 0.500 0.500 0.000
Mo1 0.000 0.500 0.500
Mo2 0.500 0.000 0.500
Ru1 0.248 0.500 0.243
Ru2 0.252 0.000 0.757
Ru3 0.748 0.000 0.243
Ru4 0.752 0.500 0.757

Properties
Total magnetization, μB per formula unit: 0.0
Final energy, Ry/atom: -0.7253
E_form, meV per atom: 69
V, Å³/atom: 14.59
DOS at the Fermi energy, states/eV per atom: 1.0153
Polymorph energy (0 for the lowest one), meV/atom: 44


Entry 5:
The following is a DFT calculation (PBE) of a relaxed TcMoRu2 crystal.

abc: 6.195 6.195 6.195
angles: 90.00 90.00 90.00
Element x y z (fractional)
Tc1 0.000 0.000 0.000
Tc2 0.000 0.500 0.500
Tc3 0.500 0.000 0.500
Tc4 0.500 0.500 0.000
Mo1 0.250 0.250 0.750
Mo2 0.250 0.750 0.250
Mo3 0.750 0.250 0.250
Mo4 0.750 0.750 0.750
Ru1 0.000 0.000 0.500
Ru2 0.000 0.500 0.000
Ru3 0.250 0.250 0.250
Ru4 0.250 0.750 0.750
Ru5 0.500 0.000 0.000
Ru6 0.500 0.500 0.500
Ru7 0.750 0.250 0.750
Ru8 0.750 0.750 0.250

Properties
Total magnetization, μB per formula unit: 1.5
Final energy, Ry/atom: -0.7052
E_form, meV per atom: 343
V, Å³/atom: 14.86
DOS at the Fermi energy, states/eV per atom: 1.4639
Polymorph energy (0 for the lowest one), meV/atom: 318


Entry 6:
The following is a DFT calculation (PBE) of a relaxed TcMoRu crystal.

abc: 2.737 2.737 11.904
angles: 90.00 90.00 90.00
Element x y z (fractional)
Tc1 0.000 0.000 0.000
Tc2 0.500 0.500 0.500
Mo1 0.000 0.000 0.320
Mo2 0.500 0.500 0.820
Ru1 0.000 0.000 0.651
Ru2 0.500 0.500 0.151

Properties
Total magnetization, μB per formula unit: 0.0
Final energy, Ry/atom: -0.7427
E_form, meV per atom: 53
V, Å³/atom: 14.86
DOS at the Fermi energy, states/eV per atom: 0.5470
Polymorph energy (0 for the lowest one), meV/atom: 2


Entry 7:
The following is a DFT calculation (PBE) of a relaxed VTcMoRu crystal.

abc: 6.148 6.148 6.148
angles: 90.00 90.00 90.00
Element x y z (fractional)
V1 0.000 0.000 0.000
V2 0.000 0.500 0.500
V3 0.500 0.000 0.500
V4 0.500 0.500 0.000
Tc1 0.250 0.250 0.750
Tc2 0.250 0.750 0.250
Tc3 0.750 0.250 0.250
Tc4 0.750 0.750 0.750
Mo1 0.000 0.000 0.500
Mo2 0.000 0.500 0.000
Mo3 0.500 0.000 0.000
Mo4 0.500 0.500 0.500
Ru1 0.250 0.250 0.250
Ru2 0.250 0.750 0.750
Ru3 0.750 0.250 0.750
Ru4 0.750 0.750 0.250

Properties
Total magnetization, μB per formula unit: 0.0
Final energy, Ry/atom: -0.7306
E_form, meV per atom: -43
V, Å³/atom: 14.52
DOS at the Fermi energy, states/eV per atom: 1.1903


Entry 8:
The following is a DFT calculation (PBE) of a relaxed TcMoRuW crystal.

abc: 6.254 6.254 6.254
angles: 90.00 90.00 90.00
Element x y z (fractional)
Tc1 0.000 0.000 0.000
Tc2 0.000 0.500 0.500
Tc3 0.500 0.000 0.500
Tc4 0.500 0.500 0.000
Mo1 0.000 0.000 0.500
Mo2 0.000 0.500 0.000
Mo3 0.500 0.000 0.000
Mo4 0.500 0.500 0.500
Ru1 0.250 0.250 0.750
Ru2 0.250 0.750 0.250
Ru3 0.750 0.250 0.250
Ru4 0.750 0.750 0.750
W1 0.250 0.250 0.250
W2 0.250 0.750 0.750
W3 0.750 0.250 0.750
W4 0.750 0.750 0.250

Properties
Total magnetization, μB per formula unit: 0.5
Final energy, Ry/atom: -0.7801
E_form, meV per atom: 242
V, Å³/atom: 15.29
DOS at the Fermi energy, states/eV per atom: 1.4830


Entry 9:
The following is a DFT calculation (PBE) of a relaxed ZnTcMoRu crystal.

abc: 6.156 6.156 6.156
angles: 90.00 90.00 90.00
Element x y z (fractional)
Zn1 0.000 0.000 0.000
Zn2 0.000 0.500 0.500
Zn3 0.500 0.000 0.500
Zn4 0.500 0.500 0.000
Tc1 0.250 0.250 0.250
Tc2 0.250 0.750 0.750
Tc3 0.750 0.250 0.750
Tc4 0.750 0.750 0.250
Mo1 0.000 0.000 0.500
Mo2 0.000 0.500 0.000
Mo3 0.500 0.000 0.000
Mo4 0.500 0.500 0.500
Ru1 0.250 0.250 0.750
Ru2 0.250 0.750 0.250
Ru3 0.750 0.250 0.250
Ru4 0.750 0.750 0.750

Properties
Total magnetization, μB per formula unit: 0.0
Final energy, Ry/atom: -0.5814
E_form, meV per atom: 26
V, Å³/atom: 14.58
DOS at the Fermi energy, states/eV per atom: 0.9271


Entry 10:
The following is a DFT calculation (PBE) of a relaxed ZrTcMoRu crystal.

abc: 6.393 6.393 6.393
angles: 90.00 90.00 90.00
Element x y z (fractional)
Zr1 0.000 0.000 0.000
Zr2 0.000 0.500 0.500
Zr3 0.500 0.000 0.500
Zr4 0.500 0.500 0.000
Tc1 0.250 0.250 0.250
Tc2 0.250 0.750 0.750
Tc3 0.750 0.250 0.750
Tc4 0.750 0.750 0.250
Mo1 0.000 0.000 0.500
Mo2 0.000 0.500 0.000
Mo3 0.500 0.000 0.000
Mo4 0.500 0.500 0.500
Ru1 0.250 0.250 0.750
Ru2 0.250 0.750 0.250
Ru3 0.750 0.250 0.250
Ru4 0.750 0.750 0.750

Properties
Total magnetization, μB per formula unit: 0.0
Final energy, Ry/atom: -0.7282
E_form, meV per atom: -153
V, Å³/atom: 16.33
DOS at the Fermi energy, states/eV per atom: 1.0578


Entry 11:
The following is a DFT calculation (PBE) of a relaxed TeMoRu2 crystal.

abc: 9.115 3.002 4.825
angles: 90.00 97.58 90.00
Element x y z (fractional)
Te1 0.000 0.000 0.000
Te2 0.500 0.500 0.000
Mo1 0.000 0.500 0.500
Mo2 0.500 0.000 0.500
Ru1 0.239 0.000 0.727
Ru2 0.261 0.500 0.273
Ru3 0.739 0.500 0.727
Ru4 0.761 0.000 0.273

Properties
Total magnetization, μB per formula unit: 0.0
Final energy, Ry/atom: -0.5726
V, Å³/atom: 16.36
DOS at the Fermi energy, states/eV per atom: 1.3098
Formation energy without anion corrections, eV/atom: 0.340


Entry 12:
The following is a DFT calculation (PBE) of a relaxed TeMoRu2 crystal.

abc: 3.022 4.034 5.438
angles: 90.00 90.00 90.00
Element x y z (fractional)
Te1 0.000 0.000 0.000
Mo1 0.500 0.500 0.322
Ru1 0.000 0.000 0.498
Ru2 0.500 0.500 0.799

Properties
Total magnetization, μB per formula unit: 0.0
Final energy, Ry/atom: -0.5682
V, Å³/atom: 16.57
DOS at the Fermi energy, states/eV per atom: 1.0717
Formation energy without anion corrections, eV/atom: 0.400


Repeat the eleventh record exactly.
The following is a DFT calculation (PBE) of a relaxed TeMoRu2 crystal.

abc: 9.115 3.002 4.825
angles: 90.00 97.58 90.00
Element x y z (fractional)
Te1 0.000 0.000 0.000
Te2 0.500 0.500 0.000
Mo1 0.000 0.500 0.500
Mo2 0.500 0.000 0.500
Ru1 0.239 0.000 0.727
Ru2 0.261 0.500 0.273
Ru3 0.739 0.500 0.727
Ru4 0.761 0.000 0.273

Properties
Total magnetization, μB per formula unit: 0.0
Final energy, Ry/atom: -0.5726
V, Å³/atom: 16.36
DOS at the Fermi energy, states/eV per atom: 1.3098
Formation energy without anion corrections, eV/atom: 0.340


Question: What is the DOS at the Fermi energy in the eleventh record?
Answer: 1.3098 states/eV per atom


Question: The highest DOS at the Fermi energy belongs to which entry?
Answer: TcMoRuW


Question: Among the records above, which one has the lowest final energy?
Answer: TcMoRuW